Below is a relaxed YSe2 crystal, with properties calculated at the GGA-PBEsol level.

The structure belongs to space group Fd-3m (No. 227, origin choice 2); the cell edges are 8.1315, 8.1315 and 8.1315 Å and the angles 90.00°, 90.00° and 90.00°. The distinct sites, in fractional coordinates, are Y at (0.1250, 0.1250, 0.1250) and Se at (0.0000, 0.0000, 0.5000).

As for the density: 6.10 Mg/m³. As for the formation energy (no corrections): -247.7 meV per atom. The crystal system is cubic. As for the volume: 537.7 Å³/cell.